DFT (PBE-GGA) results for an optimized crystal structure of SmIn2Ag.

The calculation puts the density of states at the Fermi level at 0.51 states/eV/atom. The formation energy comes out at -1.25 eV/f.u. The magnetic moment comes out at 0.000 μB/atom. The calculation puts the total DFT energy (no corrections) at -3.57 eV per atom.

The space group is Immm (No. 71) and the conventional cell measures 4.7857, 10.0128 and 17.1355 Å, with angles of 90.00, 90.00 and 90.00 degrees. The asymmetric unit holds Sm at (0.0000, 0.0000, 0.2069), Sm at (0.0000, 0.2015, 0.0000), In at (0.0000, 0.0000, 0.4160), In at (0.0000, 0.3507, 0.1877), In at (0.0000, 0.5000, 0.4203) and Ag at (0.0000, 0.2603, 0.3512).

=====

DFT (PBE-GGA) results for an optimized crystal structure of PdPt2Rh6.

The calculation puts the density of states at the Fermi level at 1.54 states/eV/atom. The formation energy comes out at 0.01 eV/f.u. Its distance to the lowest polymorph of the same formula is 0.0 kJ per mole of atoms. The magnetic moment comes out at 0.000 μB/atom. The calculation puts the total DFT energy (no corrections) at -6.82 eV per atom.

The space group is P4_2/mnm (No. 136) and the conventional cell measures 8.2370, 8.2370 and 3.8764 Å, with angles of 90.00, 90.00 and 90.00 degrees. The asymmetric unit holds Pd at (0.0000, 0.0000, 0.0000), Pt at (0.1687, 0.1687, 0.5000), Rh at (0.0014, 0.3374, 0.0000) and Rh at (0.1691, 0.8309, 0.5000).